Run P
The following is a DFT calculation (PBE) of a relaxed structure of NaHf3N.

Cell: 4.5121 4.5121 4.5121 Å, 90.00 90.00 90.00°
Last column: nearest neighbours and their distance in Å.
Fractional coordinates of all 5 atoms:
Na: 0.5000 0.5000 0.5000  12 Hf 3.19
Hf: 0.0000 0.5000 0.0000  2 N 2.26
Hf: 0.0000 0.0000 0.5000  2 N 2.26
Hf: 0.5000 0.0000 0.0000  2 N 2.26
N: 0.0000 0.0000 0.0000  6 Hf 2.26

***

Run Q
The following is a DFT calculation (PBE) of a relaxed structure of NaHf3N.

Cell: 4.8732 4.8732 4.8732 Å, 90.00 90.00 90.00°
Last column: nearest neighbours and their distance in Å.
Fractional coordinates of all 5 atoms:
Na: 0.0000 0.0000 0.0000  6 Hf 2.44
Hf: 0.0000 0.5000 0.0000  2 Na 2.44
Hf: 0.0000 0.0000 0.5000  2 Na 2.44
Hf: 0.5000 0.0000 0.0000  2 Na 2.44
N: 0.5000 0.5000 0.5000  12 Hf 3.45

***

Result of the stability comparison: run Q is the least stable of them.

***

Run P
The following is a DFT calculation (PBE) of a relaxed structure of NaHfS2N.

Cell: 5.0275 5.0275 4.2228 Å, 90.00 90.00 90.00°
Last column: nearest neighbours and their distance in Å.
Fractional coordinates of all 5 atoms:
Na: 0.5000 0.5000 0.5000  8 S 3.28, 4 N 3.55
S: 0.0000 0.5000 0.0000  2 Hf 2.51
S: 0.5000 0.0000 0.0000  2 Hf 2.51
Hf: 0.0000 0.0000 0.0000  2 N 2.11
N: 0.0000 0.0000 0.5000  2 Hf 2.11

***

Run Q
The following is a DFT calculation (PBE) of a relaxed structure of NaHfS2N.

Cell: 4.7436 4.7436 3.9500 Å, 90.00 90.00 90.00°
Last column: nearest neighbours and their distance in Å.
Fractional coordinates of all 5 atoms:
Na: 0.0000 0.0000 0.0000  2 N 1.97
S: 0.0000 0.5000 0.0000  2 Na 2.37
S: 0.5000 0.0000 0.0000  2 Na 2.37
Hf: 0.5000 0.5000 0.5000  8 S 3.09, 4 N 3.35
N: 0.0000 0.0000 0.5000  2 Na 1.97

***

Result of the stability comparison: run Q is the least stable of them.

***

Run P
The following is a DFT calculation (PBE) of a relaxed structure of NaHfSe2N.

Cell: 5.0218 5.0218 4.0002 Å, 90.00 90.00 90.00°
Last column: nearest neighbours and their distance in Å.
Fractional coordinates of all 5 atoms:
Na: 0.0000 0.0000 0.0000  2 N 2.00
Hf: 0.5000 0.5000 0.5000  8 Se 3.21, 4 N 3.55
Se: 0.0000 0.5000 0.0000  2 Na 2.51
Se: 0.5000 0.0000 0.0000  2 Na 2.51
N: 0.0000 0.0000 0.5000  2 Na 2.00

***

Run Q
The following is a DFT calculation (PBE) of a relaxed structure of NaHfSe2N.

Cell: 5.2908 5.2908 4.1907 Å, 90.00 90.00 90.00°
Last column: nearest neighbours and their distance in Å.
Fractional coordinates of all 5 atoms:
Na: 0.5000 0.5000 0.5000  8 Se 3.37, 4 N 3.74
Hf: 0.0000 0.0000 0.0000  2 N 2.10
Se: 0.0000 0.5000 0.0000  2 Hf 2.65
Se: 0.5000 0.0000 0.0000  2 Hf 2.65
N: 0.0000 0.0000 0.5000  2 Hf 2.10

***

Result of the stability comparison: run P is the least stable of them.

***

Run P
The following is a DFT calculation (PBE) of a relaxed structure of NaHfSeN2.

Cell: 4.2689 4.2689 5.3384 Å, 90.00 90.00 90.00°
Last column: nearest neighbours and their distance in Å.
Fractional coordinates of all 5 atoms:
Na: 0.5000 0.5000 0.5000  4 Se 3.02
Hf: 0.0000 0.0000 0.0000  4 N 2.13
Se: 0.0000 0.0000 0.5000  2 Hf 2.67
N: 0.0000 0.5000 0.0000  2 Hf 2.13
N: 0.5000 0.0000 0.0000  2 Hf 2.13

***

Run Q
The following is a DFT calculation (PBE) of a relaxed structure of NaHfSeN2.

Cell: 4.0946 4.0946 4.7928 Å, 90.00 90.00 90.00°
Last column: nearest neighbours and their distance in Å.
Fractional coordinates of all 5 atoms:
Na: 0.0000 0.0000 0.0000  4 N 2.05
Hf: 0.5000 0.5000 0.5000  4 Se 2.90, 8 N 3.15
Se: 0.0000 0.0000 0.5000  2 Na 2.40
N: 0.0000 0.5000 0.0000  2 Na 2.05
N: 0.5000 0.0000 0.0000  2 Na 2.05

***

Result of the stability comparison: run Q is the least stable of them.

***

Run P
The following is a DFT calculation (PBE) of a relaxed structure of HfNb3N.

Cell: 4.3542 4.3542 4.3542 Å, 90.00 90.00 90.00°
Last column: nearest neighbours and their distance in Å.
Fractional coordinates of all 5 atoms:
Nb: 0.0000 0.5000 0.0000  2 N 2.18
Nb: 0.0000 0.0000 0.5000  2 N 2.18
Nb: 0.5000 0.0000 0.0000  2 N 2.18
Hf: 0.5000 0.5000 0.5000  12 Nb 3.08
N: 0.0000 0.0000 0.0000  6 Nb 2.18

***

Run Q
The following is a DFT calculation (PBE) of a relaxed structure of HfNb3N.

Cell: 4.8918 4.8918 4.8918 Å, 90.00 90.00 90.00°
Last column: nearest neighbours and their distance in Å.
Fractional coordinates of all 5 atoms:
Nb: 0.0000 0.5000 0.0000  2 Hf 2.45
Nb: 0.0000 0.0000 0.5000  2 Hf 2.45
Nb: 0.5000 0.0000 0.0000  2 Hf 2.45
Hf: 0.0000 0.0000 0.0000  6 Nb 2.45
N: 0.5000 0.5000 0.5000  12 Nb 3.46

***

Result of the stability comparison: run Q is the least stable of them.

***

Run P
The following is a DFT calculation (PBE) of a relaxed structure of Hf3NbN4.

Cell: 5.6501 5.9240 6.9603 Å, 90.00 90.00 90.00°
Last column: nearest neighbours and their distance in Å.
Fractional coordinates of all 16 atoms:
Hf: 0.4979 0.8592 0.0000  4 N 2.06-2.10
Hf: 0.0096 0.6487 0.2297  4 N 2.09-2.25
Hf: 0.5096 0.3513 0.2703  4 N 2.09-2.25
Hf: 0.9979 0.1408 0.5000  4 N 2.06-2.10
Hf: 0.5096 0.3513 0.7297  4 N 2.09-2.25
Hf: 0.0096 0.6487 0.7703  4 N 2.09-2.25
Nb: 0.9720 0.2183 0.0000  3 N 2.04-2.11
Nb: 0.4720 0.7817 0.5000  3 N 2.04-2.11
N: 0.1262 0.8578 0.0000  3 Hf 2.10-2.13, 1 Nb 2.31
N: 0.6117 0.1941 0.0000  1 Nb 2.04, 3 Hf 2.09-2.18
N: 0.1442 0.2928 0.2610  3 Hf 2.06-2.25, 1 Nb 2.11
N: 0.6442 0.7072 0.2390  3 Hf 2.06-2.25, 1 Nb 2.11
N: 0.1117 0.8059 0.5000  1 Nb 2.04, 3 Hf 2.09-2.18
N: 0.6262 0.1422 0.5000  3 Hf 2.10-2.13, 1 Nb 2.31
N: 0.6442 0.7072 0.7610  3 Hf 2.06-2.25, 1 Nb 2.11
N: 0.1442 0.2928 0.7390  3 Hf 2.06-2.25, 1 Nb 2.11

***

Run Q
The following is a DFT calculation (PBE) of a relaxed structure of Hf3NbN4.

Cell: 3.1937 3.1937 10.5948 Å, 81.33 81.33 60.00°
Last column: nearest neighbours and their distance in Å.
Fractional coordinates of all 8 atoms:
Nb: 0.0000 0.0000 0.0000  6 N 2.28
Hf: 0.7489 0.7489 0.7534  6 N 2.22-2.26
Hf: 0.5000 0.5000 0.5000  6 N 2.28
Hf: 0.2511 0.2511 0.2466  6 N 2.22-2.26
N: 0.6239 0.6239 0.1283  3 Hf 2.22, 3 Nb 2.28
N: 0.8761 0.8761 0.3718  6 Hf 2.26-2.28
N: 0.3761 0.3761 0.8717  3 Hf 2.22, 3 Nb 2.28
N: 0.1239 0.1239 0.6282  6 Hf 2.26-2.28

***

Result of the stability comparison: run P is the least stable of them.

***

Run P
The following is a DFT calculation (PBE) of a relaxed structure of HfNbSN2.

Cell: 4.0933 4.0933 4.9474 Å, 90.00 90.00 90.00°
Last column: nearest neighbours and their distance in Å.
Fractional coordinates of all 5 atoms:
Nb: 0.5000 0.5000 0.5000  4 S 2.89, 8 N 3.21
Hf: 0.0000 0.0000 0.0000  4 N 2.05
S: 0.0000 0.0000 0.5000  2 Hf 2.47
N: 0.0000 0.5000 0.0000  2 Hf 2.05
N: 0.5000 0.0000 0.0000  2 Hf 2.05

***

Run Q
The following is a DFT calculation (PBE) of a relaxed structure of HfNbSN2.

Cell: 3.9973 3.9973 4.8251 Å, 90.00 90.00 90.00°
Last column: nearest neighbours and their distance in Å.
Fractional coordinates of all 5 atoms:
Nb: 0.0000 0.0000 0.0000  4 N 2.00
Hf: 0.5000 0.5000 0.5000  4 S 2.83, 8 N 3.13
S: 0.0000 0.0000 0.5000  2 Nb 2.41
N: 0.0000 0.5000 0.0000  2 Nb 2.00
N: 0.5000 0.0000 0.0000  2 Nb 2.00

***

Result of the stability comparison: run P is the least stable of them.

***

Run P
The following is a DFT calculation (PBE) of a relaxed structure of HfNbSe2N.

Cell: 5.1364 5.1364 3.8457 Å, 90.00 90.00 90.00°
Last column: nearest neighbours and their distance in Å.
Fractional coordinates of all 5 atoms:
Nb: 0.0000 0.0000 0.0000  2 N 1.92
Hf: 0.5000 0.5000 0.5000  8 Se 3.21
Se: 0.0000 0.5000 0.0000  2 Nb 2.57
Se: 0.5000 0.0000 0.0000  2 Nb 2.57
N: 0.0000 0.0000 0.5000  2 Nb 1.92

***

Run Q
The following is a DFT calculation (PBE) of a relaxed structure of HfNbSe2N.

Cell: 5.2344 5.2344 3.9440 Å, 90.00 90.00 90.00°
Last column: nearest neighbours and their distance in Å.
Fractional coordinates of all 5 atoms:
Nb: 0.5000 0.5000 0.5000  8 Se 3.28
Hf: 0.0000 0.0000 0.0000  2 N 1.97
Se: 0.0000 0.5000 0.0000  2 Hf 2.62
Se: 0.5000 0.0000 0.0000  2 Hf 2.62
N: 0.0000 0.0000 0.5000  2 Hf 1.97

***

Result of the stability comparison: run Q is the least stable of them.

***

Run P
The following is a DFT calculation (PBE) of a relaxed structure of HfNbSeN2.

Cell: 4.0744 4.0744 5.2157 Å, 90.00 90.00 90.00°
Last column: nearest neighbours and their distance in Å.
Fractional coordinates of all 5 atoms:
Nb: 0.5000 0.5000 0.5000  4 Se 2.88
Hf: 0.0000 0.0000 0.0000  4 N 2.04
Se: 0.0000 0.0000 0.5000  2 Hf 2.61, 4 Nb 2.88
N: 0.0000 0.5000 0.0000  2 Hf 2.04
N: 0.5000 0.0000 0.0000  2 Hf 2.04

***

Run Q
The following is a DFT calculation (PBE) of a relaxed structure of HfNbSeN2.

Cell: 4.0241 4.0241 5.0943 Å, 90.00 90.00 90.00°
Last column: nearest neighbours and their distance in Å.
Fractional coordinates of all 5 atoms:
Nb: 0.0000 0.0000 0.0000  4 N 2.01
Hf: 0.5000 0.5000 0.5000  4 Se 2.85
Se: 0.0000 0.0000 0.5000  2 Nb 2.55, 4 Hf 2.85
N: 0.0000 0.5000 0.0000  2 Nb 2.01
N: 0.5000 0.0000 0.0000  2 Nb 2.01

***

Result of the stability comparison: run P is the least stable of them.

***

Run P
The following is a DFT calculation (PBE) of a relaxed structure of HfTa2NbN.

Cell: 4.2506 4.2506 4.5611 Å, 90.00 90.00 90.00°
Last column: nearest neighbours and their distance in Å.
Fractional coordinates of all 5 atoms:
Nb: 0.5000 0.5000 0.5000  4 Hf 3.01, 8 Ta 3.12
N: 0.0000 0.0000 0.0000  4 Ta 2.13, 2 Hf 2.28
Hf: 0.0000 0.0000 0.5000  2 N 2.28
Ta: 0.0000 0.5000 0.0000  2 N 2.13
Ta: 0.5000 0.0000 0.0000  2 N 2.13

***

Run Q
The following is a DFT calculation (PBE) of a relaxed structure of HfTa2NbN.

Cell: 4.3060 4.3060 4.4165 Å, 90.00 90.00 90.00°
Last column: nearest neighbours and their distance in Å.
Fractional coordinates of all 5 atoms:
Nb: 0.0000 0.0000 0.5000  2 N 2.21
N: 0.0000 0.0000 0.0000  4 Ta 2.15, 2 Nb 2.21
Hf: 0.5000 0.5000 0.5000  4 Nb 3.04, 8 Ta 3.08
Ta: 0.0000 0.5000 0.0000  2 N 2.15
Ta: 0.5000 0.0000 0.0000  2 N 2.15

***

Result of the stability comparison: run Q is the least stable of them.

***

Run P
The following is a DFT calculation (PBE) of a relaxed structure of Hf2TaNbN.

Cell: 4.4505 4.4505 4.3124 Å, 90.00 90.00 90.00°
Last column: nearest neighbours and their distance in Å.
Fractional coordinates of all 5 atoms:
Nb: 0.0000 0.0000 0.5000  2 N 2.16
N: 0.0000 0.0000 0.0000  2 Nb 2.16, 4 Hf 2.23
Hf: 0.0000 0.5000 0.0000  2 N 2.23
Hf: 0.5000 0.0000 0.0000  2 N 2.23
Ta: 0.5000 0.5000 0.5000  8 Hf 3.10, 4 Nb 3.15

***

Run Q
The following is a DFT calculation (PBE) of a relaxed structure of Hf2TaNbN.

Cell: 4.4902 4.4902 4.2317 Å, 90.00 90.00 90.00°
Last column: nearest neighbours and their distance in Å.
Fractional coordinates of all 5 atoms:
Nb: 0.5000 0.5000 0.5000  8 Hf 3.09, 4 Ta 3.18
N: 0.0000 0.0000 0.0000  2 Ta 2.12, 4 Hf 2.25
Hf: 0.0000 0.5000 0.0000  2 N 2.25
Hf: 0.5000 0.0000 0.0000  2 N 2.25
Ta: 0.0000 0.0000 0.5000  2 N 2.12

***

Result of the stability comparison: run P is the least stable of them.

***

Run P
The following is a DFT calculation (PBE) of a relaxed structure of Hf2TiNbN.

Cell: 4.4964 4.4964 4.1133 Å, 90.00 90.00 90.00°
Last column: nearest neighbours and their distance in Å.
Fractional coordinates of all 5 atoms:
Nb: 0.5000 0.5000 0.5000  8 Hf 3.05, 4 Ti 3.18
N: 0.0000 0.0000 0.0000  2 Ti 2.06, 4 Hf 2.25
Hf: 0.0000 0.5000 0.0000  2 N 2.25
Hf: 0.5000 0.0000 0.0000  2 N 2.25
Ti: 0.0000 0.0000 0.5000  2 N 2.06

***

Run Q
The following is a DFT calculation (PBE) of a relaxed structure of Hf2TiNbN.

Cell: 4.4188 4.4188 4.3524 Å, 90.00 90.00 90.00°
Last column: nearest neighbours and their distance in Å.
Fractional coordinates of all 5 atoms:
Nb: 0.0000 0.0000 0.5000  2 N 2.18
N: 0.0000 0.0000 0.0000  2 Nb 2.18, 4 Hf 2.21
Hf: 0.0000 0.5000 0.0000  2 N 2.21
Hf: 0.5000 0.0000 0.0000  2 N 2.21
Ti: 0.5000 0.5000 0.5000  8 Hf 3.10, 4 Nb 3.12

***

Result of the stability comparison: run Q is the least stable of them.

***

Run P
The following is a DFT calculation (PBE) of a relaxed structure of Hf2ZrNbN.

Cell: 4.4886 4.4886 4.4169 Å, 90.00 90.00 90.00°
Last column: nearest neighbours and their distance in Å.
Fractional coordinates of all 5 atoms:
Nb: 0.0000 0.0000 0.5000  2 N 2.21
Hf: 0.0000 0.5000 0.0000  2 N 2.24
Hf: 0.5000 0.0000 0.0000  2 N 2.24
Zr: 0.5000 0.5000 0.5000  8 Hf 3.15, 4 Nb 3.17
N: 0.0000 0.0000 0.0000  2 Nb 2.21, 4 Hf 2.24

***

Run Q
The following is a DFT calculation (PBE) of a relaxed structure of Hf2ZrNbN.

Cell: 4.4297 4.4297 4.5645 Å, 90.00 90.00 90.00°
Last column: nearest neighbours and their distance in Å.
Fractional coordinates of all 5 atoms:
Nb: 0.5000 0.5000 0.5000  4 Zr 3.13, 8 Hf 3.18
Hf: 0.0000 0.5000 0.0000  2 N 2.21
Hf: 0.5000 0.0000 0.0000  2 N 2.21
Zr: 0.0000 0.0000 0.5000  2 N 2.28
N: 0.0000 0.0000 0.0000  4 Hf 2.21, 2 Zr 2.28

***

Result of the stability comparison: run P is the least stable of them.